1.
Material: BeZnCr
Method: DFT, GGA-PBE
State: relaxed

Cell: 3.905 4.746 6.968 Å, 137.25 90.00 114.29°
Positions (direct):
1 Zn 0.500 0.000 0.675
2 Zn 0.500 0.000 0.325
3 Cr 0.258 0.516 0.758
4 Cr 0.742 0.484 0.242
5 Be 0.000 0.000 0.845
6 Be 0.000 0.000 0.155

Results
Space group: No. 71
Formation energy from the elements in eV/atom: 0.1777

=====

2.
Material: Be2ZnCr
Method: DFT, GGA-PBE
State: relaxed

Cell: 2.487 3.274 5.221 Å, 90.00 90.00 90.00°
Positions (direct):
1 Be 0.000 0.000 0.473
2 Be 0.000 0.000 0.027
3 Cr 0.500 0.500 0.250
4 Zn 0.500 0.500 0.750

Results
Space group: No. 47
Formation energy from the elements in eV/atom: 0.1582

=====

3.
Material: BeZn2Cr
Method: DFT, GGA-PBE
State: relaxed

Cell: 4.896 4.896 4.653 Å, 63.25 63.25 29.53°
Positions (direct):
1 Be 0.501 0.501 0.403
2 Zn 0.757 0.757 0.832
3 Zn 0.999 0.999 0.918
4 Cr 0.243 0.243 0.348

Results
Space group: No. 8
Formation energy from the elements in eV/atom: 0.2060

=====

4.
Material: BeZn3Cr
Method: DFT, GGA-PBE
State: relaxed

Cell: 4.836 4.836 4.836 Å, 90.00 90.00 90.00°
Positions (direct):
1 Zn 0.000 0.500 0.000
2 Zn 0.500 0.000 0.000
3 Zn 0.000 0.000 0.500
4 Be 0.500 0.500 0.500
5 Cr 0.000 0.000 0.000

Results
Space group: No. 221
Formation energy from the elements in eV/atom: 1.1924

=====

5.
Material: BeZnCr2
Method: DFT, GGA-PBE
State: relaxed

Cell: 4.298 4.298 4.621 Å, 85.40 85.40 32.66°
Positions (direct):
1 Cr 0.753 0.753 0.776
2 Cr 0.992 0.992 0.989
3 Zn 0.503 0.503 0.481
4 Be 0.251 0.251 0.254

Results
Space group: No. 8
Formation energy from the elements in eV/atom: 0.1924

=====

6.
Material: BeZnCr2
Method: DFT, GGA-PBE
State: relaxed

Cell: 4.566 4.566 4.566 Å, 142.13 126.84 67.11°
Positions (direct):
1 Cr 0.988 0.988 0.000
2 Cr 0.768 0.268 0.500
3 Zn 0.491 0.491 0.000
4 Be 0.252 0.752 0.500

Results
Space group: No. 44
Formation energy from the elements in eV/atom: 0.1741

=====

7.
Material: BeZn2Cr
Method: DFT, GGA-PBE
State: relaxed

Cell: 3.980 2.556 4.956 Å, 76.81 90.00 90.00°
Positions (direct):
1 Zn 0.000 0.403 0.490
2 Zn 0.000 0.097 0.010
3 Be 0.500 0.250 0.250
4 Cr 0.500 0.750 0.750

Results
Space group: No. 10
Formation energy from the elements in eV/atom: 0.2233

=====

8.
Material: BeZn2Cr
Method: DFT, GGA-PBE
State: relaxed

Cell: 2.513 3.744 5.267 Å, 90.00 90.00 90.00°
Positions (direct):
1 Cr 0.500 0.500 0.750
2 Zn 0.000 0.000 0.493
3 Zn 0.000 0.000 0.007
4 Be 0.500 0.500 0.250

Results
Space group: No. 47
Formation energy from the elements in eV/atom: 0.2771

=====

9.
Material: BeZnCr2
Method: DFT, GGA-PBE
State: relaxed

Cell: 4.008 4.008 4.008 Å, 60.00 60.00 60.00°
Positions (direct):
1 Cr 0.000 0.000 0.000
2 Cr 0.250 0.250 0.250
3 Zn 0.750 0.750 0.750
4 Be 0.500 0.500 0.500

Results
Space group: No. 216
Formation energy from the elements in eV/atom: 0.2328

=====

10.
Material: BeZnCr
Method: DFT, GGA-PBE
State: relaxed

Cell: 5.895 5.895 5.895 Å, 156.01 156.01 34.19°
Positions (direct):
1 Be 0.996 0.996 0.000
2 Zn 0.660 0.660 0.000
3 Cr 0.344 0.344 0.000

Results
Space group: No. 107
Formation energy from the elements in eV/atom: 0.1576

=====

11.
Material: BeZnCr2
Method: DFT, GGA-PBE
State: relaxed

Cell: 2.417 2.417 7.770 Å, 90.00 90.00 97.51°
Positions (direct):
1 Cr 0.000 0.000 0.522
2 Cr 0.000 0.000 0.978
3 Zn 0.500 0.500 0.250
4 Be 0.500 0.500 0.750

Results
Space group: No. 65
Formation energy from the elements in eV/atom: 0.1340

=====

12.
Material: Be2ZnCr
Method: DFT, GGA-PBE
State: relaxed

Cell: 4.715 4.715 4.715 Å, 148.43 126.77 63.22°
Positions (direct):
1 Be 0.498 0.498 0.000
2 Be 0.002 0.002 0.000
3 Zn 0.250 0.750 0.500
4 Cr 0.750 0.250 0.500

Results
Space group: No. 71
Formation energy from the elements in eV/atom: 0.2968

=====

13.
Material: Be4ZnCr
Method: DFT, GGA-PBE
State: relaxed

Cell: 4.384 4.384 4.384 Å, 60.00 60.00 60.00°
Positions (direct):
1 Be 0.871 0.376 0.376
2 Be 0.376 0.376 0.871
3 Be 0.376 0.376 0.376
4 Be 0.376 0.871 0.376
5 Cr 0.750 0.750 0.750
6 Zn 0.000 0.000 0.000

Results
Space group: No. 216
Formation energy from the elements in eV/atom: 0.0226

=====

14.
Material: BeZnCr2
Method: DFT, GGA-PBE
State: relaxed

Cell: 4.333 4.333 4.333 Å, 130.93 130.93 71.93°
Positions (direct):
1 Be 0.750 0.250 0.500
2 Cr 0.000 0.000 0.000
3 Cr 0.250 0.750 0.500
4 Zn 0.500 0.500 0.000

Results
Space group: No. 119
Formation energy from the elements in eV/atom: 0.2336

=====

15.
Material: Be2ZnCr
Method: DFT, GGA-PBE
State: relaxed

Cell: 3.557 3.557 3.268 Å, 90.00 90.00 90.00°
Positions (direct):
1 Cr 0.500 0.000 0.500
2 Be 0.500 0.500 0.000
3 Be 0.000 0.000 0.000
4 Zn 0.000 0.500 0.500

Results
Space group: No. 123
Formation energy from the elements in eV/atom: 0.0344

=====

Across the entries above, uncorrected energy takes the values -4.697 -4.429 -3.768 -2.242 -5.869 -5.888 -3.751 -3.697 -5.829 -4.717 -5.928 -4.291 -4.278 -5.828 -4.553 eV per atom, respectively.